No. 1
Density functional theory data (PBE-GGA) for a relaxed structure of AlH5Ru.

Its crystal system is monoclinic.

The structure belongs to space group C2/c (No. 15); the cell edges are 5.9132, 6.6242 and 6.1533 Å and the angles 90.00°, 117.11° and 90.00°. The inequivalent atoms are Al at (0.0000, 0.0596, 0.2500), H at (0.0000, 0.3650, 0.7500), H at (0.0729, 0.2841, 0.1461), H at (0.2118, 0.4977, 0.4871) and Ru at (0.2500, 0.2500, 0.0000).

***

No. 2
Density functional theory data (PBE-GGA) for a relaxed structure of AlHRu3.

The distance to the lowest polymorph of the same formula comes out at 0 kJ/mol of formula units. Its crystal system is cubic. For the density of states at the Fermi level, the calculation gives 5.9 states/eV/cell.

The structure belongs to space group Pm-3m (No. 221); the cell edges are 3.8885, 3.8885 and 3.8885 Å and the angles 90.00°, 90.00° and 90.00°. The inequivalent atoms are Al at (0.0000, 0.0000, 0.0000), H at (0.5000, 0.5000, 0.5000) and Ru at (0.0000, 0.5000, 0.5000).

***

No. 3
Density functional theory data (PBE-GGA) for a relaxed structure of AlHRu2.

The distance to the lowest polymorph of the same formula comes out at 234 kJ/mol of formula units. Its crystal system is cubic. For the density of states at the Fermi level, the calculation gives 16.8 states/eV/cell.

The structure belongs to space group Fm-3m (No. 225); the cell edges are 5.7584, 5.7584 and 5.7584 Å and the angles 90.00°, 90.00° and 90.00°. The inequivalent atoms are Al at (0.0000, 0.0000, 0.0000), H at (0.0000, 0.0000, 0.5000) and Ru at (0.2500, 0.2500, 0.2500).

***

Let's list energy in order: -121.31, -35.11, -96.07 eV/cell.